## AlPIO2 (PBE-GGA)

Data for a geometry-optimized AlPIO2 structure.

```
5
Lattice="3.692 0.000 0.000 0.000 3.692 0.000 0.000 0.000 6.133" Properties=species:S:1:pos:R:3 pbc="T T T"
Al 0.000 0.000 0.000
P 0.000 0.000 3.067
I 1.846 1.846 3.067
O 0.000 1.846 0.000
O 1.846 0.000 0.000
```

Values from the calculation:
The raw formation energy is -0.645 eV per atom. The space group is P4/mmm (123). The calculation puts the energy above the most stable polymorph in this dataset at 0 meV per atom. The density of states at the Fermi level is 0.98 states/eV/atom.

## AcLaNdHg (PBE-GGA)

Data for a geometry-optimized AcLaNdHg structure.

```
4
Lattice="3.877 0.000 0.000 0.000 3.877 0.000 0.000 0.000 9.079" Properties=species:S:1:pos:R:3 pbc="T T T"
Ac 0.000 0.000 0.000
La 1.938 1.938 6.450
Nd 1.938 1.938 2.585
Hg 0.000 0.000 4.445
```

Values from the calculation:
As for the formation energy: -239 meV/atom. The space group is P4mm (99). The calculation puts the energy above the most stable polymorph in this dataset at 0 meV per atom. The density of states at the Fermi level is 1.41 states/eV/atom.

## ScTaPt (PBE-GGA)

Data for a geometry-optimized ScTaPt structure.

```
3
Lattice="-1.604 1.604 5.354 1.604 -1.604 5.354 1.604 1.604 -5.354" Properties=species:S:1:pos:R:3 pbc="T T T"
Sc 0.000 0.000 0.000
Ta 0.000 0.000 3.385
Pt 0.000 0.000 7.143
```

Values from the calculation:
As for the formation energy: -535 meV/atom. The space group is I4mm (107). The calculation puts the energy above the most stable polymorph in this dataset at 160 meV per atom. The density of states at the Fermi level is 0.57 states/eV/atom.

## RbTeS2 (PBE-GGA)

Data for a geometry-optimized RbTeS2 structure.

```
4
Lattice="3.569 0.000 0.000 0.000 3.569 0.000 0.000 0.000 7.844" Properties=species:S:1:pos:R:3 pbc="T T T"
Rb 0.000 0.000 0.000
Te 0.000 0.000 3.922
S 1.784 1.784 2.323
S 1.784 1.784 5.521
```

Values from the calculation:
The raw formation energy is -0.029 eV per atom. The space group is P4/mmm (123). The density of states at the Fermi level is 0.69 states/eV/atom.

Q: Among the records above, which one has the lowest density of states at the Fermi level?
A: ScTaPt